The following is a GGA-PBE calculation of a relaxed structure of AlCr3, from Alexandria.

Structure (extended XYZ):
```
4
Lattice="-3.942 -0.690 -1.241 -1.137 -3.800 -1.349 -2.545 -2.376 2.331" Properties=species:S:1:pos:R:3 pbc="T T T"
Cr -1.906 -1.716 -0.065
Cr -3.812 -3.433 -0.130
Cr -5.717 -5.149 -0.195
Al 0.000 0.000 0.000
```

Computed properties:
- Symmetry: Fm-3m
- DOS at the Fermi energy: 0.410 states/eV/atom
- Total energy: -8.1904 eV per atom

---

The following is a GGA-PBE calculation of a relaxed structure of LiPtS2, from Alexandria.

Structure (extended XYZ):
```
4
Lattice="1.748 0.000 7.929 -0.874 1.513 7.929 -0.874 -1.513 7.929" Properties=species:S:1:pos:R:3 pbc="T T T"
Li 0.000 0.000 11.894
S 0.000 0.000 2.256
S 0.000 0.000 21.532
Pt 0.000 0.000 0.000
```

Computed properties:
- Symmetry: R-3m
- DOS at the Fermi energy: 0.543 states/eV/atom
- Formation energy without anion corrections: -0.86 eV/f.u.
- Total energy: -4.2685 eV per atom

---

The following is a GGA-PBE calculation of a relaxed structure of Ce2EuBi, from Alexandria.

Structure (extended XYZ):
```
4
Lattice="-1.717 0.196 4.848 1.568 -4.510 0.737 4.276 1.723 1.445" Properties=species:S:1:pos:R:3 pbc="T T T"
Eu 2.063 -1.296 3.515
Ce 2.138 0.861 0.722
Ce 0.784 -2.255 0.369
Bi -0.859 0.098 2.424
```

Computed properties:
- Symmetry: P4/mmm
- Energy above the lowest structure with this stoichiometry: 0 meV/atom
- DOS at the Fermi energy: 2.703 states/eV/atom
- Total energy: -6.8429 eV per atom

---

The following is a GGA-PBE calculation of a relaxed structure of TaFeMo2, from Alexandria.

Structure (extended XYZ):
```
4
Lattice="-0.022 -4.820 2.001 3.979 3.019 1.300 -0.635 0.572 2.584" Properties=species:S:1:pos:R:3 pbc="T T T"
Mo 0.000 0.000 0.000
Mo 1.672 1.796 1.942
Ta 1.979 -0.901 1.650
Fe -0.329 -2.124 2.292
```

Computed properties:
- Symmetry: C2/m
- Energy above the lowest structure with this stoichiometry: 68 meV/atom
- DOS at the Fermi energy: 0.684 states/eV/atom
- Total energy: -10.4554 eV per atom

---

The following is a GGA-PBE calculation of a relaxed structure of SmHfAl2, from Alexandria.

Structure (extended XYZ):
```
4
Lattice="-1.445 0.088 4.752 2.337 -2.816 3.359 2.893 2.120 3.437" Properties=species:S:1:pos:R:3 pbc="T T T"
Al 2.838 -0.457 8.661
Al 0.946 -0.152 2.887
Sm 0.000 0.000 0.000
Hf 1.892 -0.304 5.774
```

Computed properties:
- Symmetry: Fm-3m
- Energy above the lowest structure with this stoichiometry: 76 meV/atom
- DOS at the Fermi energy: 0.818 states/eV/atom
- Total energy: -5.7425 eV per atom

---

The following is a GGA-PBE calculation of a relaxed structure of K2SnH12N6, from Alexandria.

Structure (extended XYZ):
```
21
Lattice="7.672 0.002 0.001 4.902 5.902 0.001 4.902 2.301 5.434" Properties=species:S:1:pos:R:3 pbc="T T T"
N 6.812 2.239 4.298
N 9.406 6.049 5.050
N 8.068 2.156 0.386
N 10.662 5.966 1.138
N 6.074 5.444 1.835
N 11.401 2.761 3.602
K 14.328 6.727 4.458
K 3.146 1.477 0.979
H 6.822 3.085 3.714
H 5.877 0.827 1.815
H 12.187 4.957 5.383
H 4.390 3.228 2.970
H 7.915 2.296 1.394
H 10.653 5.119 1.722
H 9.560 5.909 4.043
H 13.085 4.976 2.466
H 10.743 3.506 3.866
H 11.598 7.378 3.621
H 5.288 3.248 0.054
H 6.731 4.698 1.571
Sn 0.000 0.000 0.000
```

Computed properties:
- Symmetry: R-3
- DOS at the Fermi energy: 0.000 states/eV/atom
- Total energy: -4.9252 eV per atom

---

The following is a GGA-PBE calculation of a relaxed structure of RbMgGaGe2, from Alexandria.

Structure (extended XYZ):
```
5
Lattice="-3.996 -1.273 2.179 2.441 -2.990 2.728 1.526 6.121 1.249" Properties=species:S:1:pos:R:3 pbc="T T T"
Mg -1.624 1.358 2.941
Ga 1.594 0.500 3.215
Ge 0.572 3.049 2.830
Ge -0.601 -1.191 3.326
Rb 0.000 0.000 0.000
```

Computed properties:
- Symmetry: I-4m2
- DOS at the Fermi energy: 0.339 states/eV/atom
- Total energy: -3.0896 eV per atom

---

The following is a GGA-PBE calculation of a relaxed structure of YAlBIr2, from Alexandria.

Structure (extended XYZ):
```
10
Lattice="4.002 0.000 0.000 -2.001 5.658 0.000 0.000 0.000 7.292" Properties=species:S:1:pos:R:3 pbc="T T T"
B 0.000 0.000 3.646
B 0.000 0.000 0.000
Al 2.001 2.582 5.469
Al 0.000 3.076 1.823
Y 0.000 5.064 5.469
Y 2.001 0.594 1.823
Ir 2.001 3.778 0.428
Ir 0.000 1.881 6.864
Ir 0.000 1.881 4.074
Ir 2.001 3.778 3.218
```

Computed properties:
- Symmetry: Cmcm
- DOS at the Fermi energy: 0.521 states/eV/atom
- Total energy: -7.6962 eV per atom